1.
First-principles (GGA-PBE) data for an optimized crystal structure of TaMnSnCl2, as listed in Alexandria.

abc: 4.5423 5.7700 4.5423
angles: 90.00 90.00 90.00
Last column: nearest neighbours and their distance in Å.
Element x y z (fractional)
Mn (0.5000, 0.5000, 0.5000)  4 Sn 3.21
Sn (0.0000, 0.5000, 0.0000)  2 Ta 2.88, 4 Mn 3.21
Cl (0.5000, 0.0000, 0.0000)  2 Ta 2.27
Cl (0.0000, 0.0000, 0.5000)  2 Ta 2.27
Ta (0.0000, 0.0000, 0.0000)  4 Cl 2.27

* spin magnetization: 4.798 μB/f.u.
* space group: P4/mmm
* formation energy (no corrections): 0.203 eV/atom


2.
First-principles (GGA-PBE) data for an optimized crystal structure of BeIn4W, as listed in Alexandria.

abc: 5.6396 5.6396 5.6396
angles: 60.00 60.00 60.00
Last column: nearest neighbours and their distance in Å.
Element x y z (fractional)
In (0.3749, 0.8754, 0.3749)  6 In 2.82
In (0.3749, 0.3749, 0.3749)  6 In 2.82
In (0.8754, 0.3749, 0.3749)  6 In 2.82
In (0.3749, 0.3749, 0.8754)  6 In 2.82
Be (0.0000, 0.0000, 0.0000)  12 In 3.31, 4 W 3.45
W (0.7500, 0.7500, 0.7500)  12 In 3.31, 4 Be 3.45

* spin magnetization: 0.000 μB/f.u.
* space group: F-43m
* E_tot: -21.01 eV per cell


3.
First-principles (GGA-PBE) data for an optimized crystal structure of NaSnBi2Te4, as listed in Alexandria.

abc: 4.6526 7.8619 7.8116
angles: 110.25 90.00 90.00
Last column: nearest neighbours and their distance in Å.
Element x y z (fractional)
Sn (0.0000, 0.0000, 0.0000)  6 Te 3.21-3.22
Te (0.5000, 0.7546, 0.7479)  3 Bi 3.17-3.24, 2 Sn 3.22, 1 Na 3.26
Te (0.0000, 0.7576, 0.2568)  3 Bi 3.19-3.22, 1 Sn 3.21, 2 Na 3.27
Te (0.5000, 0.2454, 0.2521)  3 Bi 3.17-3.24, 2 Sn 3.22, 1 Na 3.26
Te (0.0000, 0.2424, 0.7432)  3 Bi 3.19-3.22, 1 Sn 3.21, 2 Na 3.27
Na (0.5000, 0.5000, 0.0000)  6 Te 3.26-3.27
Bi (0.0000, 0.5000, 0.5000)  6 Te 3.22-3.24
Bi (0.5000, 0.0000, 0.5000)  6 Te 3.17-3.19

* spin magnetization: 0.000 μB/f.u.
* space group: P2/m
* formation energy (no corrections): -0.335 eV/atom


4.
First-principles (GGA-PBE) data for an optimized crystal structure of LaSb2Os, as listed in Alexandria.

abc: 5.1419 5.1419 5.1419
angles: 60.00 60.00 60.00
Last column: nearest neighbours and their distance in Å.
Element x y z (fractional)
Sb (0.2500, 0.2500, 0.2500)  4 La 3.15, 4 Sb 3.15
Sb (0.0000, 0.0000, 0.0000)  4 Sb 3.15, 4 Os 3.15
La (0.5000, 0.5000, 0.5000)  4 Sb 3.15, 4 Os 3.15
Os (0.7500, 0.7500, 0.7500)  4 La 3.15, 4 Sb 3.15

* spin magnetization: 0.000 μB/f.u.
* space group: F-43m
* formation energy (no corrections): 0.229 eV/atom